# 1
The following is a DFT calculation (meta-GGA SCAN) of CrAsAuSe2 at its PBEsol-relaxed geometry.

Lattice parameters (Å, degrees): 5.072 5.072 4.826 90.00 90.00 90.00
Space group P4/mmm (No. 123)
Asymmetric unit:
Cr: 0.000 0.000 0.000
As: 0.500 0.500 0.000
Au: 0.500 0.500 0.500
Se: 0.000 0.500 0.500

- Formation energy without anion corrections: 680 meV per atom
- Final energy: -28.898 eV/atom
- ρ: 6446 kg/m³

# 2
The following is a DFT calculation (meta-GGA SCAN) of ScMnZn at its PBEsol-relaxed geometry.

Lattice parameters (Å, degrees): 3.095 3.095 9.856 90.00 90.00 90.00
Space group I4mm (No. 107)
Asymmetric unit:
Sc: 0.000 0.000 0.000
Mn: 0.000 0.000 0.329
Zn: 0.000 0.000 0.693

- Final energy: -15.582 eV/atom
- ρ: 5816 kg/m³
- Calculated formation energy: -0.25 eV per atom

What did the first record say?
The following is a DFT calculation (meta-GGA SCAN) of CrAsAuSe2 at its PBEsol-relaxed geometry.

Lattice parameters (Å, degrees): 5.072 5.072 4.826 90.00 90.00 90.00
Space group P4/mmm (No. 123)
Asymmetric unit:
Cr: 0.000 0.000 0.000
As: 0.500 0.500 0.000
Au: 0.500 0.500 0.500
Se: 0.000 0.500 0.500

- Formation energy without anion corrections: 680 meV per atom
- Final energy: -28.898 eV/atom
- ρ: 6446 kg/m³